Entry from the Alexandria database: a relaxed PrTcO4F crystal (PBE).

Cell lengths 6.236, 6.236, 7.096 Å; angles 77.66, 77.66, 73.99 degrees
Site moments in Bohr magnetons follow the coordinates.
Element x y z (fractional)
O (0.474, 0.118, 0.152)  0.08
O (0.118, 0.474, 0.152)  0.08
O (0.256, 0.256, 0.534)  0.02
O (0.464, 0.464, 0.764)  0.02
Tc (0.646, 0.646, 0.711)  0.66
O (0.744, 0.744, 0.466)  0.02
Pr (0.798, 0.798, 0.097)  0.03
O (0.526, 0.882, 0.848)  0.08
F (0.988, 0.988, 0.823)  0.00
O (0.536, 0.536, 0.236)  0.02
O (0.882, 0.526, 0.848)  0.08
Tc (0.354, 0.354, 0.289)  0.66
Pr (0.202, 0.202, 0.903)  0.03
F (0.012, 0.012, 0.177)  0.00

## Properties
E_tot, eV/atom: -7.6328
D(E_F), states/eV/f.u.: 3.21